VASP calculation (PBE) on a geometry-optimized Dy2AsPd structure.

Properties
The value obtained for the formation enthalpy at 0 K is -0.46 eV/atom. The density of states at the Fermi level comes out at 0.8709 states/eV/atom.

POSCAR file:
```
Dy2AsPd
1.0
3.812 0.000 0.000
1.906 3.301 0.000
1.906 1.100 8.731
Pd Dy As
1 2 1
Direct
0.000 0.000 0.000
0.101 0.101 0.698
0.899 0.899 0.302
0.500 0.500 0.500
```

VASP calculation (PBE) on a geometry-optimized Nd12CdHg6 structure.

Properties
The value obtained for the formation enthalpy at 0 K is -0.22 eV/atom. The density of states at the Fermi level comes out at 1.2186 states/eV/atom.

POSCAR file:
```
Nd12CdHg6
1.0
9.048 -1.116 -1.337
-2.475 8.774 -1.337
-2.475 -2.884 8.394
Nd Hg Cd
12 6 1
Direct
0.834 0.274 0.921
0.810 0.657 0.524
0.343 0.476 0.190
0.726 0.079 0.166
0.190 0.343 0.476
0.079 0.166 0.726
0.524 0.810 0.657
0.657 0.524 0.810
0.476 0.190 0.343
0.921 0.834 0.274
0.274 0.921 0.834
0.166 0.726 0.079
0.641 0.922 0.408
0.078 0.592 0.359
0.359 0.078 0.592
0.408 0.641 0.922
0.592 0.359 0.078
0.922 0.408 0.641
0.000 0.000 0.000
```

VASP calculation (PBE) on a geometry-optimized CuTe2RhN structure.

Properties
The excess energy over the best structure of this formula in the dataset comes out at 0.000 eV/atom. The density of states at the Fermi level comes out at 0.9717 states/eV/atom. The value obtained for the energy relative to the elements, uncorrected is 556.2 meV per atom.

POSCAR file:
```
CuTe2RhN
1.0
5.474 0.000 0.000
0.000 5.474 0.000
0.000 0.000 3.607
N Rh Cu Te
1 1 1 2
Direct
0.000 0.000 0.500
0.000 0.000 0.000
0.500 0.500 0.500
0.500 0.000 0.000
0.000 0.500 0.000
```

VASP calculation (PBE) on a geometry-optimized ZnSe structure.

Properties
The value obtained for the energy relative to the elements, uncorrected is -602.0 meV per atom.

POSCAR file:
```
ZnSe
1.0
-6.919 7.805 1.363
-6.306 -6.520 5.325
1.853 1.037 3.464
Zn Se
8 8
Direct
0.799 0.624 0.000
0.299 0.124 0.500
0.701 0.876 0.500
0.376 0.799 0.000
0.624 0.201 0.000
0.876 0.299 0.500
0.124 0.701 0.500
0.201 0.376 0.000
0.278 0.893 0.500
0.778 0.393 0.000
0.607 0.778 0.000
0.393 0.222 0.000
0.722 0.107 0.500
0.893 0.722 0.500
0.107 0.278 0.500
0.222 0.607 0.000
```

VASP calculation (PBE) on a geometry-optimized PuHSe structure.

Properties
The density of states at the Fermi level comes out at 3.0495 states/eV/atom. As for the calculated total energy: -7.91 eV per atom.

POSCAR file:
```
PuHSe
1.0
4.122 0.000 0.000
0.000 4.165 0.000
0.000 -2.082 6.801
Se H Pu
2 2 2
Direct
0.749 0.650 0.300
0.249 0.350 0.700
0.499 0.000 0.000
0.999 0.000 0.000
0.248 0.131 0.262
0.748 0.869 0.738
```

VASP calculation (PBE) on a geometry-optimized Sm11In9Co4 structure.

Properties
The value obtained for the formation enthalpy at 0 K is -0.41 eV/atom. The density of states at the Fermi level comes out at 0.7190 states/eV/atom.

POSCAR file:
```
Sm11In9Co4
1.0
-0.488 -2.106 3.038
13.060 -0.696 1.615
-5.277 10.304 6.295
Co In Sm
4 9 11
Direct
0.500 0.246 0.449
0.500 0.449 0.246
0.500 0.754 0.551
0.500 0.551 0.754
0.500 0.221 0.081
0.500 0.368 0.839
0.500 0.081 0.221
0.500 0.632 0.161
0.500 0.500 0.500
0.500 0.839 0.368
0.500 0.919 0.779
0.500 0.161 0.632
0.500 0.779 0.919
0.000 0.162 0.838
0.000 0.418 0.082
0.000 0.375 0.625
0.000 0.918 0.582
0.000 0.082 0.418
0.000 0.582 0.918
0.000 0.838 0.162
0.000 0.625 0.375
0.000 0.686 0.686
0.000 0.314 0.314
0.000 0.000 0.000
```